Entry 1:
U2Be4FeSi3: optimized geometry, PBE.

Structure (CIF):
```
data_U2Be4FeSi3
_cell_length_a 3.8406
_cell_length_b 3.8406
_cell_length_c 9.2812
_cell_angle_alpha 90.00
_cell_angle_beta 90.00
_cell_angle_gamma 90.00
_space_group_name_H-M_alt 'P -4 m 2'
_space_group_IT_number 115
loop_
_space_group_symop_operation_xyz
'x,y,z'
'y,-x,-z'
'-x,-y,z'
'-y,x,-z'
'-x,y,z'
'-y,-x,-z'
'x,-y,z'
'y,x,-z'
loop_
_atom_site_label
_atom_site_fract_x
_atom_site_fract_y
_atom_site_fract_z
_atom_site_occupancy
U1 0.0000 0.5000 0.2414 1
Be1 0.0000 0.0000 0.5000 1
Be2 0.0000 0.5000 0.8744 1
Be3 0.5000 0.5000 0.5000 1
Fe1 0.5000 0.5000 0.0000 1
Si1 0.0000 0.0000 0.0000 1
Si2 0.0000 0.5000 0.6356 1
```

- VASP energy (eV/cell) = -64.37
- formation energy from raw total energies (eV per atom) = -0.22
- ρ (Mg/m³) = 7.9

---

Entry 2:
Be2V2Fe5Si: optimized geometry, PBE.

Structure (CIF):
```
data_Be2V2Fe5Si
_cell_length_a 8.5219
_cell_length_b 8.5219
_cell_length_c 2.8684
_cell_angle_alpha 90.00
_cell_angle_beta 90.00
_cell_angle_gamma 90.00
_space_group_name_H-M_alt 'P 4/m b m'
_space_group_IT_number 127
_space_group_name_Hall '-P 4 2ab'
loop_
_atom_site_label
_atom_site_fract_x
_atom_site_fract_y
_atom_site_fract_z
_atom_site_occupancy
Be1 0.1248 0.3752 0.0000 1
V1 0.1726 0.6726 0.0000 1
Fe1 0.0000 0.5000 0.5000 1
Fe2 0.0675 0.2050 0.5000 1
Si1 0.0000 0.0000 0.0000 1
```

- VASP energy (eV/cell) = -150.87
- formation energy from raw total energies (eV per atom) = -0.20
- ρ (Mg/m³) = 6.8

---

Entry 3:
BeVFeSi: optimized geometry, PBE.

Structure (CIF):
```
data_BeVFeSi
_cell_length_a 5.5557
_cell_length_b 5.5557
_cell_length_c 5.5557
_cell_angle_alpha 90.00
_cell_angle_beta 90.00
_cell_angle_gamma 90.00
_space_group_name_H-M_alt 'F -4 3 m'
_space_group_IT_number 216
_space_group_name_Hall 'F -4 2 3'
loop_
_atom_site_label
_atom_site_fract_x
_atom_site_fract_y
_atom_site_fract_z
_atom_site_occupancy
Be1 0.0000 0.0000 0.0000 1
V1 0.2500 0.2500 0.2500 1
Fe1 0.0000 0.0000 0.5000 1
Si1 0.2500 0.2500 0.7500 1
```

- VASP energy (eV/cell) = -111.22
- formation energy from raw total energies (eV per atom) = -0.27
- ρ (Mg/m³) = 5.6

---

Entry 4:
Be2Fe5SiW2: optimized geometry, PBE.

Structure (CIF):
```
data_Be2Fe5SiW2
_cell_length_a 8.6918
_cell_length_b 8.6918
_cell_length_c 2.8506
_cell_angle_alpha 90.00
_cell_angle_beta 90.00
_cell_angle_gamma 90.00
_space_group_name_H-M_alt 'P 4/m b m'
_space_group_IT_number 127
_space_group_name_Hall '-P 4 2ab'
loop_
_atom_site_label
_atom_site_fract_x
_atom_site_fract_y
_atom_site_fract_z
_atom_site_occupancy
Be1 0.1234 0.3766 0.0000 1
Fe1 0.0000 0.5000 0.5000 1
Fe2 0.0631 0.2065 0.5000 1
Si1 0.0000 0.0000 0.0000 1
W1 0.1748 0.6748 0.0000 1
```

- VASP energy (eV/cell) = -165.95
- formation energy from raw total energies (eV per atom) = -0.19
- ρ (Mg/m³) = 10.7

---

Q: The highest ρ belongs to which entry?
A: Be2Fe5SiW2